Record 1
A crystal of Y2SbRh relaxed with PBEsol, computed with SCAN.

a = 4.0962 Å, b = 4.0962 Å, c = 6.0725 Å
α = 90.00°, β = 90.00°, γ = 90.00°
Last column: nearest neighbours and their distance in Å.
Space group P4mm (No. 99)
Symmetry-distinct sites (fractional):
Y (0.0000, 0.0000, 0.0000) [1 per cell]  1 Rh 2.64
Y (0.5000, 0.5000, 0.3745) [1 per cell]  4 Rh 2.92, 2 Sb 3.00-3.07
Sb (0.5000, 0.5000, 0.8686) [1 per cell]  6 Y 3.00-3.07
Rh (0.0000, 0.0000, 0.4346) [1 per cell]  5 Y 2.64-2.92

Values from the calculation:
For the formation energy without anion corrections, the calculation gives -796 meV per atom.



Record 2
A crystal of YSb2Rh relaxed with PBEsol, computed with SCAN.

a = 6.9805 Å, b = 6.9805 Å, c = 6.9805 Å
α = 90.00°, β = 90.00°, γ = 90.00°
Last column: nearest neighbours and their distance in Å.
Space group Fm-3m (No. 225)
Symmetry-distinct sites (fractional):
Y (0.0000, 0.0000, 0.0000) [4 per cell]  8 Sb 3.02
Sb (0.2500, 0.2500, 0.2500) [8 per cell]  4 Rh 3.02, 4 Y 3.02
Rh (0.0000, 0.0000, 0.5000) [4 per cell]  8 Sb 3.02

Values from the calculation:
For the formation energy without anion corrections, the calculation gives -393 meV per atom.



Record 3
A crystal of YSb2Rh relaxed with PBEsol, computed with SCAN.

a = 4.3539 Å, b = 5.4244 Å, c = 7.3033 Å
α = 90.00°, β = 90.00°, γ = 90.00°
Last column: nearest neighbours and their distance in Å.
Space group Cmmm (No. 65)
Symmetry-distinct sites (fractional):
Y (0.0000, 0.0000, 0.0000) [2 per cell]  4 Sb 3.02
Sb (0.0000, 0.5000, 0.2869) [4 per cell]  2 Rh 2.68
Rh (0.0000, 0.0000, 0.5000) [2 per cell]  4 Sb 2.68

Values from the calculation:
For the formation energy without anion corrections, the calculation gives -475 meV per atom.



Record 4
A crystal of ZnSbRh2 relaxed with PBEsol, computed with SCAN.

a = 3.1957 Å, b = 3.1957 Å, c = 5.9080 Å
α = 90.00°, β = 90.00°, γ = 90.00°
Last column: nearest neighbours and their distance in Å.
Space group P4/mmm (No. 123)
Symmetry-distinct sites (fractional):
Zn (0.0000, 0.0000, 0.0000) [1 per cell]  8 Rh 2.68, 2 Sb 2.95
Sb (0.0000, 0.0000, 0.5000) [1 per cell]  8 Rh 2.72, 2 Zn 2.95
Rh (0.5000, 0.5000, 0.2443) [2 per cell]  4 Zn 2.68, 4 Sb 2.72, 1 Rh 2.89

Values from the calculation:
For the formation energy without anion corrections, the calculation gives -292 meV per atom.



Record 5
A crystal of ZnSbRh2 relaxed with PBEsol, computed with SCAN.

a = 4.1391 Å, b = 4.1391 Å, c = 3.4855 Å
α = 90.00°, β = 90.00°, γ = 90.00°
Last column: nearest neighbours and their distance in Å.
Space group P4/mmm (No. 123)
Symmetry-distinct sites (fractional):
Zn (0.0000, 0.0000, 0.0000) [1 per cell]  8 Rh 2.71, 4 Sb 2.93
Sb (0.5000, 0.5000, 0.0000) [1 per cell]  8 Rh 2.71, 4 Zn 2.93
Rh (0.0000, 0.5000, 0.5000) [2 per cell]  4 Sb 2.71, 4 Zn 2.71, 4 Rh 2.93

Values from the calculation:
For the formation energy without anion corrections, the calculation gives -374 meV per atom.



Record 6
A crystal of ZrSbRh2 relaxed with PBEsol, computed with SCAN.

a = 3.3129 Å, b = 3.5374 Å, c = 5.8873 Å
α = 90.00°, β = 90.00°, γ = 90.00°
Last column: nearest neighbours and their distance in Å.
Space group Pmmm (No. 47)
Symmetry-distinct sites (fractional):
Zr (0.0000, 0.0000, 0.0000) [1 per cell]  8 Rh 2.82, 2 Sb 2.94
Sb (0.0000, 0.0000, 0.5000) [1 per cell]  8 Rh 2.85, 2 Zr 2.94
Rh (0.5000, 0.5000, 0.2448) [2 per cell]  4 Zr 2.82, 4 Sb 2.85, 2 Rh 2.88-3.01

Values from the calculation:
For the formation energy without anion corrections, the calculation gives -650 meV per atom.



Record 7
A crystal of Zr2SbRh relaxed with PBEsol, computed with SCAN.

a = 4.2090 Å, b = 4.2090 Å, c = 4.2355 Å
α = 90.00°, β = 90.00°, γ = 90.00°
Last column: nearest neighbours and their distance in Å.
Space group P4/mmm (No. 123)
Symmetry-distinct sites (fractional):
Zr (0.0000, 0.5000, 0.0000) [2 per cell]  4 Zr 2.98, 4 Sb 2.99, 4 Rh 2.99
Sb (0.0000, 0.0000, 0.5000) [1 per cell]  4 Rh 2.98, 8 Zr 2.99
Rh (0.5000, 0.5000, 0.5000) [1 per cell]  4 Sb 2.98, 8 Zr 2.99

Values from the calculation:
For the formation energy without anion corrections, the calculation gives -686 meV per atom.



Record 8
A crystal of ZrSbRh2 relaxed with PBEsol, computed with SCAN.

a = 6.4745 Å, b = 6.4745 Å, c = 6.4745 Å
α = 90.00°, β = 90.00°, γ = 90.00°
Last column: nearest neighbours and their distance in Å.
Space group F-43m (No. 216)
Symmetry-distinct sites (fractional):
Zr (0.0000, 0.0000, 0.0000) [4 per cell]  4 Sb 2.80, 4 Rh 2.80
Sb (0.2500, 0.2500, 0.7500) [4 per cell]  4 Zr 2.80, 4 Rh 2.80
Rh (0.0000, 0.0000, 0.5000) [4 per cell]  4 Rh 2.80, 4 Sb 2.80
Rh (0.2500, 0.2500, 0.2500) [4 per cell]  4 Zr 2.80, 4 Rh 2.80

Values from the calculation:
For the formation energy without anion corrections, the calculation gives -396 meV per atom.



Record 9
A crystal of Zr2SbRh relaxed with PBEsol, computed with SCAN.

a = 4.0090 Å, b = 4.4966 Å, c = 8.3820 Å
α = 90.00°, β = 90.00°, γ = 90.00°
Last column: nearest neighbours and their distance in Å.
Space group Immm (No. 71)
Symmetry-distinct sites (fractional):
Zr (0.0000, 0.0000, 0.2387) [4 per cell]  4 Rh 2.83-3.14, 4 Sb 2.97-3.01, 4 Zr 3.02
Sb (0.0000, 0.5000, 0.0000) [2 per cell]  8 Zr 2.97-3.01, 4 Rh 3.01
Rh (0.0000, 0.5000, 0.5000) [2 per cell]  8 Zr 2.83-3.14, 4 Sb 3.01

Values from the calculation:
For the formation energy without anion corrections, the calculation gives -695 meV per atom.



Record 10
A crystal of Sc3Rh relaxed with PBEsol, computed with SCAN.

a = 3.3427 Å, b = 4.7974 Å, c = 9.7759 Å
α = 90.00°, β = 90.00°, γ = 90.00°
Last column: nearest neighbours and their distance in Å.
Space group Immm (No. 71)
Symmetry-distinct sites (fractional):
Sc (0.0000, 0.0000, 0.0000) [2 per cell]  4 Rh 2.92, 4 Sc 3.14
Sc (0.0000, 0.5000, 0.2076) [4 per cell]  2 Rh 2.63
Rh (0.0000, 0.0000, 0.5000) [2 per cell]  8 Sc 2.63-2.92

Values from the calculation:
The value obtained for the formation energy is -0.597 eV/atom.



Record 11
A crystal of Sc3Rh relaxed with PBEsol, computed with SCAN.

a = 6.5460 Å, b = 8.3759 Å, c = 5.9865 Å
α = 90.00°, β = 90.00°, γ = 90.00°
Last column: nearest neighbours and their distance in Å.
Space group Pnma (No. 62)
Symmetry-distinct sites (fractional):
Sc (0.0290, 0.2500, 0.1028) [4 per cell]  2 Rh 2.57-2.68
Sc (0.1843, 0.0547, 0.6816) [8 per cell]  3 Rh 2.63-2.90
Rh (0.0971, 0.7500, 0.4714) [4 per cell]  6 Sc 2.57-2.78

Values from the calculation:
The value obtained for the formation energy is -0.641 eV/atom.



Record 12
A crystal of Sc5Rh relaxed with PBEsol, computed with SCAN.

a = 7.9336 Å, b = 7.9336 Å, c = 7.9336 Å
α = 90.00°, β = 90.00°, γ = 90.00°
Last column: nearest neighbours and their distance in Å.
Space group F-43m (No. 216)
Symmetry-distinct sites (fractional):
Sc (0.0000, 0.0000, 0.0000) [4 per cell]  12 Sc 3.29, 4 Rh 3.44
Sc (0.1244, 0.1244, 0.6244) [16 per cell]  6 Sc 2.79-2.82
Rh (0.2500, 0.2500, 0.2500) [4 per cell]  16 Sc 3.29-3.44

Values from the calculation:
The value obtained for the formation energy is 0.270 eV/atom. The calculation puts the energy above the most stable polymorph in this dataset at 645 meV per atom.



Record 13
A crystal of Sc3Rh relaxed with PBEsol, computed with SCAN.

a = 3.2053 Å, b = 3.2053 Å, c = 7.8073 Å
α = 90.00°, β = 90.00°, γ = 90.00°
Last column: nearest neighbours and their distance in Å.
Space group P4/mmm (No. 123)
Symmetry-distinct sites (fractional):
Sc (0.0000, 0.0000, 0.0000) [1 per cell]  12 Sc 3.21-3.26
Sc (0.5000, 0.5000, 0.3002) [2 per cell]  4 Rh 2.75
Rh (0.0000, 0.0000, 0.5000) [1 per cell]  8 Sc 2.75

Values from the calculation:
The value obtained for the formation energy is -0.554 eV/atom.



Record 14
A crystal of Sc3Rh5 relaxed with PBEsol, computed with SCAN.

a = 7.0420 Å, b = 8.3234 Å, c = 4.1720 Å
α = 90.00°, β = 90.00°, γ = 90.00°
Last column: nearest neighbours and their distance in Å.
Space group Cmmm (No. 65)
Symmetry-distinct sites (fractional):
Sc (0.0000, 0.0000, 0.0000) [2 per cell]  8 Rh 2.61-2.73
Sc (0.0000, 0.2848, 0.5000) [4 per cell]  10 Rh 2.65-2.84
Rh (0.0000, 0.5000, 0.0000) [2 per cell]  8 Rh 2.73-2.86, 4 Sc 2.75
Rh (0.2227, 0.0000, 0.5000) [4 per cell]  6 Sc 2.61-2.84, 2 Rh 2.86
Rh (0.2500, 0.2500, 0.0000) [4 per cell]  6 Sc 2.73-2.74, 6 Rh 2.73-2.95

Values from the calculation:
The value obtained for the formation energy is -0.869 eV/atom.



Record 15
A crystal of Sc5Rh3 relaxed with PBEsol, computed with SCAN.

a = 6.7757 Å, b = 9.2043 Å, c = 4.4787 Å
α = 90.00°, β = 90.00°, γ = 90.00°
Last column: nearest neighbours and their distance in Å.
Space group Cmmm (No. 65)
Symmetry-distinct sites (fractional):
Sc (0.0000, 0.0000, 0.0000) [2 per cell]  8 Sc 2.86-2.92, 4 Rh 3.09
Sc (0.2229, 0.5000, 0.5000) [4 per cell]  6 Rh 2.70-2.90, 3 Sc 2.92-3.02
Sc (0.2500, 0.2500, 0.0000) [4 per cell]  6 Rh 2.81-2.86, 2 Sc 2.86
Rh (0.0000, 0.2315, 0.5000) [4 per cell]  10 Sc 2.81-3.09
Rh (0.0000, 0.5000, 0.0000) [2 per cell]  8 Sc 2.70-2.86

Values from the calculation:
The value obtained for the formation energy is -0.802 eV/atom. The calculation puts the energy above the most stable polymorph in this dataset at 74 meV per atom.



Record 16
A crystal of ScRh4 relaxed with PBEsol, computed with SCAN.

a = 6.0771 Å, b = 6.0771 Å, c = 3.8907 Å
α = 90.00°, β = 90.00°, γ = 90.00°
Last column: nearest neighbours and their distance in Å.
Space group I4/m (No. 87)
Symmetry-distinct sites (fractional):
Sc (0.0000, 0.0000, 0.0000) [2 per cell]  12 Rh 2.70-2.77
Rh (0.0990, 0.3078, 0.5000) [8 per cell]  9 Rh 2.63-2.78, 3 Sc 2.70-2.77

Values from the calculation:
The value obtained for the formation energy is -0.470 eV/atom. The calculation puts the energy above the most stable polymorph in this dataset at 0 meV per atom.



Record 17
A crystal of Sc5Rh relaxed with PBEsol, computed with SCAN.

a = 10.9302 Å, b = 3.3159 Å, c = 7.4758 Å
α = 90.00°, β = 111.16°, γ = 90.00°
Last column: nearest neighbours and their distance in Å.
Space group C2/m (No. 12)
Symmetry-distinct sites (fractional):
Sc (0.0000, 0.0000, 0.0000) [2 per cell]  12 Sc 3.09-3.40
Sc (0.1378, 0.5000, 0.3668) [4 per cell]  2 Rh 2.66
Sc (0.1673, 0.5000, 0.7971) [4 per cell]  2 Rh 2.84, 2 Sc 3.11-3.12
Rh (0.0000, 0.0000, 0.5000) [2 per cell]  8 Sc 2.66-2.84

Values from the calculation:
The value obtained for the formation energy is -0.375 eV/atom. The calculation puts the energy above the most stable polymorph in this dataset at 0 meV per atom.



Record 18
A crystal of Sc3Rh relaxed with PBEsol, computed with SCAN.

a = 3.1695 Å, b = 4.2882 Å, c = 5.9016 Å
α = 90.00°, β = 105.03°, γ = 90.00°
Last column: nearest neighbours and their distance in Å.
Space group P2/m (No. 10)
Symmetry-distinct sites (fractional):
Sc (0.0000, 0.0000, 0.0000) [1 per cell]  2 Rh 2.95, 10 Sc 3.05-3.17
Sc (0.3959, 0.5000, 0.7250) [2 per cell]  2 Rh 2.66, 1 Sc 2.90
Rh (0.0000, 0.0000, 0.5000) [1 per cell]  6 Sc 2.66-2.95

Values from the calculation:
The value obtained for the formation energy is -0.404 eV/atom.



Record 19
A crystal of Sc5Rh relaxed with PBEsol, computed with SCAN.

a = 3.5185 Å, b = 14.5393 Å, c = 4.8845 Å
α = 90.00°, β = 90.00°, γ = 90.00°
Last column: nearest neighbours and their distance in Å.
Space group Cmmm (No. 65)
Symmetry-distinct sites (fractional):
Sc (0.0000, 0.0000, 0.0000) [2 per cell]  4 Rh 3.01, 8 Sc 3.03-3.17
Sc (0.0000, 0.1393, 0.5000) [4 per cell]  2 Rh 2.68
Sc (0.0000, 0.3304, 0.0000) [4 per cell]  8 Sc 2.93-3.04
Rh (0.0000, 0.5000, 0.5000) [2 per cell]  4 Sc 2.68

Values from the calculation:
The value obtained for the formation energy is -0.285 eV/atom. The calculation puts the energy above the most stable polymorph in this dataset at 90 meV per atom.



Record 20
A crystal of Sc3Rh relaxed with PBEsol, computed with SCAN.

a = 9.2697 Å, b = 9.2697 Å, c = 3.0329 Å
α = 90.00°, β = 90.00°, γ = 120.00°
Last column: nearest neighbours and their distance in Å.
Space group R-3m (No. 166, hexagonal axes)
Symmetry-distinct sites (fractional):
Sc (0.0000, 0.5000, 0.0000) [9 per cell]  6 Sc 2.86-3.03, 2 Rh 2.86
Rh (0.0000, 0.0000, 0.0000) [3 per cell]  6 Sc 2.86, 2 Rh 3.03

Values from the calculation:
The value obtained for the formation energy is -0.252 eV/atom.